Record 1
Entry from Alexandria: a relaxed structure of Sc2Co3Si3 (GGA-PBE).

As for the spin magnetization: 0.000 μB per atom. The calculation puts the distance to the lowest polymorph of the same formula at 0.00 eV per formula unit. The value obtained for the raw total energy is -6.835 eV/atom. As for the density: 5.162 g cm⁻³.

The space group is Cmcm (No. 63) and the conventional cell measures 3.764, 9.248 and 12.973 Å, with angles of 90.00, 90.00 and 90.00 degrees. Symmetry generates all atoms from Sc at (0.000, 0.143, 0.075), Co at (0.000, 0.290, 0.250), Co at (0.000, 0.456, 0.088), Si at (0.000, 0.152, 0.649) and Si at (0.000, 0.409, 0.750).


Record 2
Entry from Alexandria: a relaxed structure of Sc3Co2Si3 (GGA-PBE).

As for the spin magnetization: 0.000 μB per atom. The calculation puts the distance to the lowest polymorph of the same formula at 0.00 eV per formula unit. The value obtained for the raw total energy is -7.021 eV/atom. As for the density: 4.477 g cm⁻³.

The space group is Cmcm (No. 63) and the conventional cell measures 3.930, 9.924 and 12.819 Å, with angles of 90.00, 90.00 and 90.00 degrees. Symmetry generates all atoms from Sc at (0.000, 0.079, 0.113), Sc at (0.000, 0.357, 0.250), Co at (0.000, 0.215, 0.583), Si at (0.000, 0.336, 0.750) and Si at (0.000, 0.386, 0.041).


Record 3
Entry from Alexandria: a relaxed structure of Sc2CoSi (GGA-PBE).

As for the spin magnetization: 0.000 μB per atom. The value obtained for the raw total energy is -6.331 eV/atom. As for the density: 4.153 g cm⁻³.

The space group is I-42d (No. 122) and the conventional cell measures 7.054, 7.054 and 5.686 Å, with angles of 90.00, 90.00 and 90.00 degrees. Symmetry generates all atoms from Sc at (0.212, 0.250, 0.125), Co at (0.000, 0.000, 0.000) and Si at (0.000, 0.000, 0.500).


| no. | N(E_F) (states/eV/f.u.) |
| --- | --- |
| 1 | 5.142 |
| 2 | 5.613 |
| 3 | 3.981 |